Entry from Alexandria: crystalline TlIrPb2 at its relaxed geometry (GGA-PBE).

excess energy over the best structure of this formula in the dataset	0.1152	eV/atom
calculated volume	24.993	Å³ per atom
E_tot	-17.43	eV/cell

Cell: 3.4251 3.2953 8.8576 Å, 90.00 90.00 90.00°
Positions (direct):
Ir 0.5000 0.5000 0.7450
Pb 0.0000 0.0000 0.9410
Pb 0.5000 0.5000 0.2647
Tl 0.0000 0.0000 0.5493